Here is an optimized crystal structure of SrAc4Cr3O12 from Alexandria via LeMat-Bulk. Energies are from PBE+U.

Structure (CIF):
```
data_SrAc4Cr3O12
_cell_length_a 7.5945
_cell_length_b 7.5945
_cell_length_c 7.5945
_cell_angle_alpha 109.47
_cell_angle_beta 109.47
_cell_angle_gamma 109.47
_symmetry_space_group_name_H-M 'P 1'
_symmetry_Int_Tables_number 1
_symmetry_space_group_name_Hall 'P 1'
loop_
_atom_site_label
_atom_site_type_symbol
_atom_site_fract_x
_atom_site_fract_y
_atom_site_fract_z
_atom_site_occupancy
Ac1 Ac 0.0000 0.0000 0.5000 1
O1 O 0.8526 0.5183 0.6657 1
Cr1 Cr 0.0000 0.5000 0.5000 1
O2 O 0.4817 0.3343 0.1474 1
O3 O 0.1870 0.3343 0.8526 1
Ac2 Ac 0.5000 0.5000 0.5000 1
O4 O 0.8130 0.6657 0.1474 1
O5 O 0.6657 0.1474 0.8130 1
O6 O 0.8526 0.1870 0.3343 1
Ac3 Ac 0.0000 0.5000 0.0000 1
O7 O 0.3343 0.1474 0.4817 1
Cr2 Cr 0.5000 0.0000 0.5000 1
Sr1 Sr 0.0000 0.0000 0.0000 1
O8 O 0.5183 0.6657 0.8526 1
Ac4 Ac 0.5000 0.0000 0.0000 1
O9 O 0.6657 0.8526 0.5183 1
O10 O 0.1474 0.4817 0.3343 1
Cr3 Cr 0.5000 0.5000 0.0000 1
O11 O 0.3343 0.8526 0.1870 1
O12 O 0.1474 0.8130 0.6657 1
```

- N(E_F) (states/eV per atom) = 0.414
- energy (eV per atom) = -7.3692
- symmetry = Im-3 (204)